! Li3Co2F8 GGA+U relaxed; values from VASP
&SYSTEM
  ibrav = 0, nat = 13, ntyp = 3
/
ATOMIC_SPECIES
Li 6.94 Li.upf
Co 58.93 Co.upf
F 19.00 F.upf
ATOMIC_POSITIONS angstrom
Li 2.391 -0.022 0.693
Li 0.141 1.280 5.147
Li 0.589 3.776 3.681
Co 4.796 1.244 3.582
Co 0.717 3.768 6.633
F 4.352 3.124 6.647
F 1.161 1.888 3.569
F 3.790 0.552 2.097
F 1.723 4.460 8.118
F 4.234 3.218 3.484
F 3.731 0.414 5.131
F 1.782 4.598 5.084
F 1.279 1.794 6.731
CELL_PARAMETERS angstrom
4.783 -0.044 1.387
0.835 5.146 2.876
-0.105 -0.091 5.953
! - calculated volume (Å³/atom) = 11.43
! - calculated total energy (eV per atom) = -4.78
! - density of states at the Fermi level (states/eV/cell) = 6.67